# 1
Dy8P3Se3N after structural relaxation, computed with PBE-GGA.

POSCAR file:
```
Dy8P3Se3N
1.0
-0.967 -4.738 -6.220
7.254 1.741 2.536
-4.660 -4.839 4.411
Dy P Se N
8 3 3 1
direct
0.257 0.515 0.272
0.743 0.485 0.728
0.775 0.551 0.287
0.225 0.449 0.713
0.775 0.012 0.287
0.225 0.988 0.713
0.236 0.012 0.287
0.764 0.988 0.713
0.500 0.000 0.500
0.500 0.500 0.500
0.000 0.500 0.500
0.000 0.000 0.000
0.000 0.500 0.000
0.500 0.500 0.000
0.000 0.000 0.500
```

## Properties
The space group is R-3m. The total energy is -6.3517 eV per atom. Its uncorrected formation energy is -1.563 eV per atom.

# 2
LaTlRe2Mo after structural relaxation, computed with PBE-GGA.

POSCAR file:
```
LaTlRe2Mo
1.0
4.911 0.000 0.000
0.000 4.933 0.000
0.000 0.000 4.911
Re Tl Mo La
2 1 1 1
direct
0.000 0.000 0.500
0.500 0.000 0.000
0.500 0.500 0.500
0.000 0.500 0.000
0.000 0.000 0.000
```

## Properties
The space group is P4/mmm. The total energy is -5.9318 eV per atom. The calculation puts the formation energy at 2672 meV/atom.

# 3
SrPb3C after structural relaxation, computed with PBE-GGA.

POSCAR file:
```
SrPb3C
1.0
-2.217 -4.843 -3.271
2.987 -3.946 3.818
-5.023 -0.209 3.714
Pb Sr C
3 1 1
direct
0.000 0.500 0.000
0.000 0.000 0.500
0.500 0.000 0.000
0.000 0.000 0.000
0.500 0.500 0.500
```

## Properties
The space group is Pm-3m. The total energy is -2.3130 eV per atom. The calculation puts the formation energy at 2093 meV/atom.

# 4
Na3SmEr2S6 after structural relaxation, computed with PBE-GGA.

POSCAR file:
```
Na3SmEr2S6
1.0
6.915 -0.001 0.000
-3.457 5.989 0.000
-1.153 -1.997 6.686
Na Sm Er S
3 1 2 6
direct
0.166 0.834 0.500
0.834 0.166 0.500
0.500 0.500 0.500
0.000 0.000 0.000
0.333 0.667 0.000
0.667 0.333 0.000
0.924 0.584 0.774
0.735 0.735 0.227
0.076 0.416 0.226
0.584 0.924 0.774
0.265 0.265 0.773
0.416 0.076 0.226
```

## Properties
The space group is C2/m. The total energy is -5.3866 eV per atom. Its uncorrected formation energy is -1.839 eV per atom.

# 5
LiScOs2 after structural relaxation, computed with PBE-GGA.

POSCAR file:
```
LiScOs2
1.0
-2.719 -4.256 -1.143
2.718 -4.272 -1.083
-1.073 3.633 3.530
Li Os Sc
1 2 1
direct
0.250 0.750 0.500
0.001 0.001 0.000
0.499 0.499 0.000
0.750 0.250 0.500
```

## Properties
The space group is Immm. The total energy is -7.6226 eV per atom. The calculation puts the formation energy at 54 meV/atom.

# 6
FeHPtW2 after structural relaxation, computed with PBE-GGA.

POSCAR file:
```
FeHPtW2
1.0
4.814 0.000 0.000
0.000 4.580 0.000
0.000 0.000 4.814
H W Pt Fe
1 2 1 1
direct
0.500 0.500 0.500
0.000 0.000 0.500
0.500 0.000 0.000
0.000 0.000 0.000
0.000 0.500 0.000
```

## Properties
The space group is P4/mmm. The total energy is -6.0677 eV per atom.

# 7
Li3In2Hg after structural relaxation, computed with PBE-GGA.

POSCAR file:
```
Li3In2Hg
1.0
-1.621 1.867 -2.275
-0.299 -3.785 -2.893
-12.527 -3.586 5.984
Li In Hg
6 4 2
direct
0.500 0.500 0.659
0.500 0.000 0.500
0.500 0.500 0.341
0.500 0.000 0.159
0.500 0.500 0.000
0.500 0.000 0.841
0.000 0.000 0.671
0.000 0.000 0.329
0.000 0.500 0.171
0.000 0.500 0.829
0.000 0.500 0.500
0.000 0.000 0.000
```

## Properties
The space group is Cmmm. The total energy is -2.2339 eV per atom. The calculation puts the formation energy at -314 meV/atom.

# 8
NbCrPd14 after structural relaxation, computed with PBE-GGA.

POSCAR file:
```
NbCrPd14
1.0
5.597 -0.012 0.000
0.012 5.597 0.000
0.000 0.000 7.842
Nb Cr Pd
1 1 14
direct
0.875 0.875 0.500
0.375 0.375 0.500
0.875 0.875 0.000
0.375 0.375 0.000
0.875 0.375 0.500
0.875 0.375 0.000
0.375 0.875 0.500
0.375 0.875 0.000
0.625 0.125 0.257
0.625 0.125 0.743
0.125 0.625 0.257
0.125 0.625 0.743
0.625 0.625 0.257
0.625 0.625 0.743
0.125 0.125 0.257
0.125 0.125 0.743
```

## Properties
The space group is P4/mmm. The total energy is -5.9287 eV per atom. The calculation puts the formation energy at -154 meV/atom.